# Tb4CeIn2

Tb4CeIn2 after structural relaxation (PBE, the Alexandria database).

Unit cell a=8.303 b=6.652 c=8.452 alpha=90.00 beta=117.60 gamma=90.00
Fractional coordinates of all 14 atoms:
1 Tb 0.034 0.250 0.025
2 Tb 0.106 0.750 0.403
3 Tb 0.426 0.504 0.265
4 Tb 0.426 0.996 0.265
5 Tb 0.574 0.004 0.735
6 Tb 0.574 0.496 0.735
7 Tb 0.894 0.250 0.597
8 Tb 0.966 0.750 0.975
9 Ce 0.243 0.750 0.822
10 Ce 0.757 0.250 0.178
11 In 0.202 0.250 0.462
12 In 0.331 0.250 0.890
13 In 0.669 0.750 0.110
14 In 0.798 0.750 0.538

- DOS at the Fermi energy: 12.75 states/eV/f.u.
- Total magnetic moment: 0.13 μB/atom
- Calculated formation energy: -0.137 eV per atom